{"formula": "Li2ZrPdW", "functional": "PBE-GGA", "state": "relaxed", "cell": [[-3.941, -2.123, 1.494], [0.355, -3.245, -3.674], [2.574, -2.838, 2.756]], "species": ["Zr", "Pd", "W", "Li", "Li"], "frac_coords": [[0.000, 0.500, 0.000], [0.500, 0.500, 0.500], [0.000, 0.000, 0.000], [0.000, 0.000, 0.500], [0.500, 0.000, 0.000]]}



{"formula": "Li2YPd5", "functional": "PBE-GGA", "state": "relaxed", "cell": [[1.596, 5.120, -1.475], [1.340, -4.003, -3.621], [-5.551, 0.077, 0.335]], "species": ["Li", "Li", "Y", "Pd", "Pd", "Pd", "Pd", "Pd"], "frac_coords": [[0.278, 0.778, 0.500], [0.778, 0.278, 0.500], [0.778, 0.778, 0.000], [0.278, 0.278, 0.500], [0.278, 0.778, 0.000], [0.778, 0.278, 0.000], [0.778, 0.778, 0.500], [0.278, 0.277, 0.000]]}



{"formula": "LiY6Pd2", "functional": "PBE-GGA", "state": "relaxed", "cell": [[-3.847, 1.180, 0.293], [-3.813, -4.456, -4.330], [-3.317, -5.415, 6.027]], "species": ["Li", "Y", "Y", "Y", "Y", "Y", "Y", "Pd", "Pd"], "frac_coords": [[0.000, 0.500, 0.500], [0.019, 0.142, 0.820], [0.281, 0.317, 0.122], [0.719, 0.683, 0.878], [0.336, 0.804, 0.525], [0.664, 0.196, 0.475], [0.981, 0.858, 0.180], [0.405, 0.443, 0.747], [0.595, 0.557, 0.253]]}



{"formula": "LiYPd6", "functional": "PBE-GGA", "state": "relaxed", "cell": [[4.081, 0.000, 0.000], [0.000, 4.081, 0.000], [0.000, 0.000, 7.830]], "species": ["Li", "Y", "Pd", "Pd", "Pd", "Pd", "Pd", "Pd"], "frac_coords": [[0.000, 0.000, 0.500], [0.000, 0.000, 0.000], [0.500, 0.500, 0.000], [0.500, 0.500, 0.500], [0.500, 0.000, 0.265], [0.500, 0.000, 0.735], [0.000, 0.500, 0.265], [0.000, 0.500, 0.735]]}



{"formula": "LiYPd", "functional": "PBE-GGA", "state": "relaxed", "cell": [[-2.299, 1.789, 2.796], [-2.988, 0.336, -2.675], [-2.682, -6.793, 2.143]], "species": ["Li", "Li", "Y", "Y", "Pd", "Pd"], "frac_coords": [[0.023, 0.338, 0.024], [0.523, 0.838, 0.023], [0.023, 0.838, 0.676], [0.523, 0.338, 0.371], [0.523, 0.338, 0.766], [0.023, 0.838, 0.281]]}



{"formula": "Li3YPd6", "functional": "PBE-GGA", "state": "relaxed", "cell": [[4.311, 0.000, 0.000], [0.000, 7.792, -0.987], [0.000, -0.768, 9.301]], "species": ["Li", "Li", "Li", "Li", "Li", "Li", "Y", "Y", "Pd", "Pd", "Pd", "Pd", "Pd", "Pd", "Pd", "Pd", "Pd", "Pd", "Pd", "Pd"], "frac_coords": [[0.250, 0.540, 0.396], [0.750, 0.460, 0.604], [0.250, 0.354, 0.824], [0.750, 0.646, 0.176], [0.250, 0.750, 0.976], [0.750, 0.250, 0.024], [0.250, 0.936, 0.620], [0.750, 0.064, 0.380], [0.250, 0.459, 0.103], [0.750, 0.541, 0.897], [0.250, 0.158, 0.214], [0.750, 0.842, 0.786], [0.250, 0.613, 0.699], [0.750, 0.387, 0.301], [0.250, 0.276, 0.525], [0.750, 0.724, 0.475], [0.250, 0.818, 0.275], [0.750, 0.182, 0.725], [0.250, 0.068, 0.919], [0.750, 0.932, 0.081]]}



Total magnetic moment values, unit μB/cell, following the record order: 1.8; 0.0; 0.0; 0.0; 0.0; 0.0.
ΔH_f (0 K) values, unit meV per atom, following the record order: 1296; -517; -367; -535; -595; -523.